No. 1
Density functional theory data (GGA-PBE) for an optimized crystal structure of Li4Tb3ScSe8.

The structure in POSCAR format:
```
Li4Tb3ScSe8
1.0
-6.8599 0.8627 -4.1627
-2.2223 -7.3660 2.1357
2.0287 5.4372 5.6069
Li Sc Tb Se
4 1 3 8
direct
0.0000 0.0000 0.5000
0.5000 0.0000 0.0000
0.5000 0.0000 0.5000
0.0000 0.0000 0.0000
0.0000 0.5000 0.0000
0.5000 0.5000 0.5000
0.5000 0.5000 0.0000
0.0000 0.5000 0.5000
0.7560 0.2505 0.5119
0.7616 0.7494 0.0056
0.2440 0.7494 0.0056
0.7560 0.2506 0.9944
0.2384 0.2506 0.9944
0.2478 0.2436 0.4956
0.2440 0.7495 0.4881
0.7522 0.7564 0.5044
```

Properties
Final energy = -0.189 hartree per atom
Formation energy from raw total energies = -1.66 eV/atom

No. 2
Density functional theory data (GGA-PBE) for an optimized crystal structure of Li2Tb3ScSe6.

The structure in POSCAR format:
```
Li2Tb3ScSe6
1.0
6.9622 0.0003 0.0010
-3.4792 6.0306 0.0010
-1.1609 -2.0100 6.4704
Se Sc Tb Li
6 1 3 2
direct
0.2531 0.2531 0.7632
0.4102 0.0779 0.2335
0.0779 0.4102 0.2335
0.7469 0.7469 0.2368
0.5898 0.9221 0.7665
0.9221 0.5898 0.7665
0.0000 0.0000 0.0000
0.5000 0.5000 0.5000
0.8318 0.1682 0.5000
0.1682 0.8318 0.5000
0.6667 0.3333 0.0000
0.3333 0.6667 0.0000
```

Properties
Final energy = -0.200 hartree per atom
Formation energy from raw total energies = -1.70 eV/atom